{
  "formula": "WSO2",
  "functional": "PBE+U",
  "state": "relaxed",
  "energy_ev_per_atom": -5.7371,
  "mass_density_kg_m3": 8788,
  "lattice_angstrom": [[1.417, 0.818, 6.738], [-1.417, 0.818, 6.738], [0.000, -1.636, 6.738]],
  "species": ["W", "S", "O", "O"],
  "frac_coords": [[0.000, 0.000, 0.000], [0.500, 0.500, 0.500], [0.403, 0.403, 0.403], [0.597, 0.597, 0.597]]
}